No. 1
Computed, not measured: a relaxed Tb3YHoSc crystal at the PBE level of DFT.

size of the total moment: 0.000 μB/atom
energy: -62.08 eV/cell
volume: 30.5 Å³/atom
Fermi-level density of states: 16.8 states/eV per cell
theoretical density: 7.03 g cm⁻³

a b c (Å): 4.9768 7.8295 10.4981
angles (deg): 116.41 90.00 90.00
Fractional coordinates of all 12 atoms:
Tb 0.7500 0.8747 0.0440
Tb 0.2500 0.1253 0.9560
Tb 0.2500 0.6330 0.4580
Tb 0.7500 0.3670 0.5420
Tb 0.7500 0.3810 0.2100
Tb 0.2500 0.6190 0.7900
Y 0.2500 0.1227 0.2963
Y 0.7500 0.8773 0.7037
Ho 0.2500 0.6276 0.1275
Ho 0.7500 0.3724 0.8725
Sc 0.2500 0.1216 0.6219
Sc 0.7500 0.8784 0.3781

***

No. 2
Computed, not measured: a relaxed TeS2ClO crystal at the PBE level of DFT.

size of the total moment: 0.000 μB/atom
raw formation energy: 0.723 eV per atom
energy: -14.59 eV/cell
volume: 17.5 Å³/atom
Fermi-level density of states: 2.2 states/eV per cell
theoretical density: 4.61 g cm⁻³

a b c (Å): 4.4085 4.4085 4.5061
angles (deg): 90.00 90.00 90.00
Fractional coordinates of all 5 atoms:
S 0.0000 0.5000 0.0000
S 0.5000 0.0000 0.0000
Te 0.5000 0.5000 0.5000
O 0.0000 0.0000 0.0000
Cl 0.0000 0.0000 0.5000

***

No. 3
Computed, not measured: a relaxed PrNdPu crystal at the PBE level of DFT.

size of the total moment: 2.067 μB/atom
energy: -23.47 eV/cell
volume: 33.0 Å³/atom
Fermi-level density of states: 6.9 states/eV per cell
theoretical density: 8.88 g cm⁻³

a b c (Å): 3.5919 3.5919 8.0799
angles (deg): 102.84 102.84 90.00
Site moments in Bohr magnetons follow the coordinates.
Fractional coordinates of all 3 atoms:
Pr 0.3371 0.3371 0.6743  -0.01
Nd 0.6623 0.6623 0.3246  -0.01
Pu 0.0006 0.0006 0.0011  5.67

***

Question: Look up the volume of the third one.
Answer: 33.0 Å³/atom

***

Please write out number 2 again, unchanged.
Computed, not measured: a relaxed TeS2ClO crystal at the PBE level of DFT.

size of the total moment: 0.000 μB/atom
raw formation energy: 0.723 eV per atom
energy: -14.59 eV/cell
volume: 17.5 Å³/atom
Fermi-level density of states: 2.2 states/eV per cell
theoretical density: 4.61 g cm⁻³

a b c (Å): 4.4085 4.4085 4.5061
angles (deg): 90.00 90.00 90.00
Fractional coordinates of all 5 atoms:
S 0.0000 0.5000 0.0000
S 0.5000 0.0000 0.0000
Te 0.5000 0.5000 0.5000
O 0.0000 0.0000 0.0000
Cl 0.0000 0.0000 0.5000

***

Copy entry 3 word for word.
Computed, not measured: a relaxed PrNdPu crystal at the PBE level of DFT.

size of the total moment: 2.067 μB/atom
energy: -23.47 eV/cell
volume: 33.0 Å³/atom
Fermi-level density of states: 6.9 states/eV per cell
theoretical density: 8.88 g cm⁻³

a b c (Å): 3.5919 3.5919 8.0799
angles (deg): 102.84 102.84 90.00
Site moments in Bohr magnetons follow the coordinates.
Fractional coordinates of all 3 atoms:
Pr 0.3371 0.3371 0.6743  -0.01
Nd 0.6623 0.6623 0.3246  -0.01
Pu 0.0006 0.0006 0.0011  5.67

***

Question: Among the records above, which one has the highest volume?
Answer: PrNdPu